{
  "formula": "PmIn3Pd3",
  "functional": "GGA-PBE",
  "state": "relaxed",
  "e_form_ev_per_atom": -0.50,
  "crystal_system": "trigonal",
  "de_polymorph_ev_per_fu": 0.23,
  "rho_g_cm3": 8.4,
  "energy_ev_per_atom": -4.5769,
  "lattice": [[8.162, 0.000, 0.000], [4.081, 7.068, 0.000], [4.081, 2.356, 5.549]],
  "species": ["Pm", "Pm", "In", "In", "In", "In", "In", "In", "Pd", "Pd", "Pd", "Pd", "Pd", "Pd"],
  "frac_coords": [[0.331, 0.331, 0.007], [0.669, 0.669, 0.993], [0.439, 0.793, 0.642], [0.793, 0.126, 0.642], [0.126, 0.439, 0.642], [0.874, 0.561, 0.358], [0.207, 0.874, 0.358], [0.561, 0.207, 0.358], [0.249, 0.648, 0.151], [0.952, 0.249, 0.151], [0.648, 0.952, 0.151], [0.352, 0.048, 0.849], [0.048, 0.751, 0.849], [0.751, 0.352, 0.849]]
}

=====

{
  "formula": "NaNbZnW2",
  "functional": "GGA-PBE",
  "state": "relaxed",
  "e_form_ev_per_atom": 1.74,
  "crystal_system": "tetragonal",
  "rho_g_cm3": 7.5,
  "energy_ev_per_atom": -5.9754,
  "lattice": [[4.803, 0.000, 0.000], [0.000, 5.243, 0.000], [0.000, 0.000, 4.803]],
  "species": ["Na", "Nb", "Zn", "W", "W"],
  "frac_coords": [[0.500, 0.500, 0.500], [0.000, 0.000, 0.000], [0.000, 0.500, 0.000], [0.000, 0.000, 0.500], [0.500, 0.000, 0.000]]
}

=====

{
  "formula": "LiCdPd",
  "functional": "GGA-PBE",
  "state": "relaxed",
  "e_form_ev_per_atom": -0.37,
  "crystal_system": "monoclinic",
  "de_polymorph_ev_per_fu": 0.09,
  "rho_g_cm3": 7.5,
  "energy_ev_per_atom": -3.0488,
  "lattice": [[3.557, 0.000, -0.178], [0.000, 4.347, 0.000], [-1.445, 0.000, 6.531]],
  "species": ["Li", "Li", "Cd", "Cd", "Pd", "Pd"],
  "frac_coords": [[0.747, 0.250, 0.494], [0.253, 0.750, 0.506], [0.414, 0.250, 0.828], [0.586, 0.750, 0.172], [0.092, 0.250, 0.183], [0.908, 0.750, 0.817]]
}

=====

{
  "formula": "HoEr2Th2",
  "functional": "GGA-PBE",
  "state": "relaxed",
  "e_form_ev_per_atom": 0.31,
  "crystal_system": "monoclinic",
  "de_polymorph_ev_per_fu": 1.40,
  "rho_g_cm3": 9.5,
  "energy_ev_per_atom": -5.3996,
  "lattice": [[8.030, 0.979, 1.413], [-2.378, 6.240, 0.091], [-2.378, -2.105, 5.874]],
  "species": ["Ho", "Ho", "Er", "Er", "Er", "Er", "Th", "Th", "Th", "Th"],
  "frac_coords": [[0.250, 0.775, 0.225], [0.750, 0.225, 0.775], [0.000, 0.500, 0.500], [0.000, 0.000, 0.500], [0.500, 0.500, 0.500], [0.500, 0.500, 0.000], [0.146, 0.220, 0.087], [0.854, 0.780, 0.913], [0.354, 0.913, 0.780], [0.646, 0.087, 0.220]]
}

=====

{
  "formula": "CeNd2ErP4",
  "functional": "GGA-PBE",
  "state": "relaxed",
  "e_form_ev_per_atom": -1.55,
  "crystal_system": "monoclinic",
  "rho_g_cm3": 6.2,
  "energy_ev_per_atom": -6.7563,
  "lattice": [[-3.561, 1.112, -1.693], [2.646, -1.318, -6.430], [-3.048, -5.885, 2.546]],
  "species": ["Ce", "Nd", "Nd", "Er", "P", "P", "P", "P"],
  "frac_coords": [[0.500, 0.500, 0.000], [0.500, 0.000, 0.500], [0.000, 0.500, 0.500], [0.000, 0.000, 0.000], [0.500, 0.245, 0.238], [0.500, 0.755, 0.762], [0.000, 0.251, 0.760], [0.000, 0.749, 0.240]]
}

=====

{
  "formula": "Pt6WAu",
  "functional": "GGA-PBE",
  "state": "relaxed",
  "e_form_ev_per_atom": -0.18,
  "crystal_system": "tetragonal",
  "rho_g_cm3": 20.2,
  "energy_ev_per_atom": -6.7416,
  "lattice": [[-3.482, -1.128, 1.624], [-1.095, -1.640, -3.486], [3.266, -6.894, 2.217]],
  "species": ["Pt", "Pt", "Pt", "Pt", "Pt", "Pt", "W", "Au"],
  "frac_coords": [[0.500, 0.500, 0.000], [0.500, 0.500, 0.500], [0.500, 0.000, 0.263], [0.500, 0.000, 0.737], [0.000, 0.500, 0.263], [0.000, 0.500, 0.737], [0.000, 0.000, 0.500], [0.000, 0.000, 0.000]]
}

=====

{
  "formula": "Zr2ZnSI",
  "functional": "GGA-PBE",
  "state": "relaxed",
  "formation_energy_uncorrected_ev_per_atom": 0.21,
  "crystal_system": "tetragonal",
  "rho_g_cm3": 4.7,
  "energy_ev_per_atom": -4.5987,
  "lattice": [[-0.722, -0.354, 4.732], [-1.692, -6.013, -0.708], [4.566, -1.355, 0.595]],
  "species": ["I", "Zn", "S", "Zr", "Zr"],
  "frac_coords": [[0.000, 0.500, 0.000], [0.500, 0.500, 0.500], [0.000, 0.000, 0.000], [0.000, 0.000, 0.500], [0.500, 0.000, 0.000]]
}

=====

{
  "formula": "Pr2ErSb2Te2",
  "functional": "GGA-PBE",
  "state": "relaxed",
  "formation_energy_uncorrected_ev_per_atom": -0.81,
  "crystal_system": "tetragonal",
  "rho_g_cm3": 6.1,
  "energy_ev_per_atom": -4.9004,
  "lattice": [[5.704, 0.000, 0.000], [0.000, 5.704, 0.000], [-2.852, -2.852, 7.873]],
  "species": ["Pr", "Pr", "Er", "Sb", "Sb", "Te", "Te"],
  "frac_coords": [[0.383, 0.383, 0.766], [0.617, 0.617, 0.234], [0.000, 0.000, 0.000], [0.000, 0.500, 0.000], [0.500, 0.000, 0.000], [0.191, 0.191, 0.381], [0.809, 0.809, 0.619]]
}

=====

{
  "formula": "MgTc2Se",
  "functional": "GGA-PBE",
  "state": "relaxed",
  "formation_energy_uncorrected_ev_per_atom": 0.44,
  "crystal_system": "orthorhombic",
  "de_polymorph_ev_per_fu": 1.75,
  "rho_g_cm3": 7.6,
  "energy_ev_per_atom": -6.0156,
  "lattice": [[-1.719, 1.935, 1.566], [-2.890, -0.190, -2.938], [-2.266, -4.028, 2.489]],
  "species": ["Mg", "Se", "Tc", "Tc"],
  "frac_coords": [[0.500, 0.500, 0.250], [0.500, 0.500, 0.750], [0.000, 0.000, 0.023], [0.000, 0.000, 0.477]]
}

=====

{
  "formula": "TaV2Pt8",
  "functional": "GGA-PBE",
  "state": "relaxed",
  "e_form_ev_per_atom": -0.56,
  "crystal_system": "monoclinic",
  "rho_g_cm3": 18.1,
  "energy_ev_per_atom": -7.6920,
  "lattice": [[-2.670, 1.109, 2.685], [-3.370, -5.212, -1.200], [5.905, -2.129, 3.854]],
  "species": ["Ta", "V", "V", "Pt", "Pt", "Pt", "Pt", "Pt", "Pt", "Pt", "Pt"],
  "frac_coords": [[0.500, 0.000, 0.000], [0.219, 0.647, 0.438], [0.781, 0.353, 0.562], [0.606, 0.453, 0.212], [0.318, 0.086, 0.636], [0.142, 0.194, 0.283], [0.044, 0.730, 0.087], [0.858, 0.806, 0.717], [0.682, 0.914, 0.364], [0.394, 0.547, 0.788], [0.956, 0.270, 0.913]]
}

=====

{
  "formula": "Ba3SrNi",
  "functional": "GGA-PBE",
  "state": "relaxed",
  "e_form_ev_per_atom": 1.23,
  "crystal_system": "cubic",
  "de_polymorph_ev_per_fu": 6.18,
  "rho_g_cm3": 3.1,
  "energy_ev_per_atom": -1.4194,
  "lattice": [[-1.386, -3.255, 5.712], [-4.035, -4.188, -3.365], [5.190, -4.125, -1.091]],
  "species": ["Sr", "Ba", "Ba", "Ba", "Ni"],
  "frac_coords": [[0.000, 0.000, 0.000], [0.000, 0.500, 0.000], [0.000, 0.000, 0.500], [0.500, 0.000, 0.000], [0.500, 0.500, 0.500]]
}

=====

{
  "formula": "Ba2Al2H",
  "functional": "GGA-PBE",
  "state": "relaxed",
  "crystal_system": "tetragonal",
  "de_polymorph_ev_per_fu": 0.47,
  "rho_g_cm3": 3.2,
  "energy_ev_per_atom": -2.5468,
  "lattice": [[-1.643, -6.021, 2.182], [2.943, 1.291, 5.778], [-2.723, -0.937, 5.379]],
  "species": ["H", "Ba", "Ba", "Al", "Al"],
  "frac_coords": [[0.000, 0.000, 0.000], [0.750, 0.250, 0.500], [0.250, 0.750, 0.500], [0.340, 0.340, 0.320], [0.660, 0.660, 0.680]]
}

=====

{
  "formula": "BeV2GaMo",
  "functional": "GGA-PBE",
  "state": "relaxed",
  "e_form_ev_per_atom": 0.51,
  "crystal_system": "tetragonal",
  "rho_g_cm3": 6.7,
  "energy_ev_per_atom": -6.6558,
  "lattice": [[4.177, 0.000, 0.000], [0.000, 3.939, 0.000], [0.000, 0.000, 4.177]],
  "species": ["Be", "Mo", "Ga", "V", "V"],
  "frac_coords": [[0.000, 0.000, 0.000], [0.500, 0.500, 0.500], [0.000, 0.500, 0.000], [0.000, 0.000, 0.500], [0.500, 0.000, 0.000]]
}

=====

{
  "formula": "NbVSi",
  "functional": "GGA-PBE",
  "state": "relaxed",
  "formation_energy_uncorrected_ev_per_atom": 0.47,
  "crystal_system": "tetragonal",
  "rho_g_cm3": 5.6,
  "energy_ev_per_atom": -7.7365,
  "lattice": [[-1.149, 1.115, -2.066], [-4.860, -5.760, 1.249], [-1.703, 1.188, 1.589]],
  "species": ["Si", "V", "Nb"],
  "frac_coords": [[0.054, 0.108, 0.946], [0.219, 0.438, 0.781], [0.877, 0.753, 0.123]]
}

=====

{
  "formula": "RbPdPt2",
  "functional": "GGA-PBE",
  "state": "relaxed",
  "e_form_ev_per_atom": 0.38,
  "crystal_system": "trigonal",
  "de_polymorph_ev_per_fu": 0.36,
  "rho_g_cm3": 12.9,
  "energy_ev_per_atom": -4.1783,
  "lattice": [[2.899, 0.000, 0.000], [1.449, 2.510, 0.000], [1.449, 0.837, 10.325]],
  "species": ["Rb", "Pd", "Pt", "Pt"],
  "frac_coords": [[0.500, 0.500, 0.500], [0.000, 0.000, 0.000], [0.740, 0.740, 0.779], [0.260, 0.260, 0.221]]
}

=====

{
  "formula": "NdTm2Ir",
  "functional": "GGA-PBE",
  "state": "relaxed",
  "e_form_ev_per_atom": -0.48,
  "crystal_system": "tetragonal",
  "de_polymorph_ev_per_fu": 0.36,
  "rho_g_cm3": 10.7,
  "energy_ev_per_atom": -6.1202,
  "lattice": [[-1.847, 1.137, -2.682], [-2.501, -2.247, 0.770], [-3.824, 6.035, 5.191]],
  "species": ["Nd", "Ir", "Tm", "Tm"],
  "frac_coords": [[0.500, 0.500, 0.500], [0.500, 0.500, 0.000], [0.000, 0.000, 0.818], [0.000, 0.000, 0.182]]
}

=====

{
  "formula": "GdSnPdRu",
  "functional": "GGA-PBE",
  "state": "relaxed",
  "e_form_ev_per_atom": -0.52,
  "crystal_system": "cubic",
  "rho_g_cm3": 10.5,
  "energy_ev_per_atom": -8.6546,
  "lattice": [[4.762, 0.000, 0.000], [2.381, 4.124, 0.000], [2.381, 1.375, 3.888]],
  "species": ["Ru", "Gd", "Sn", "Pd"],
  "frac_coords": [[0.750, 0.750, 0.750], [0.000, 0.000, 0.000], [0.500, 0.500, 0.500], [0.250, 0.250, 0.250]]
}

=====

{
  "formula": "PaFeSn",
  "functional": "GGA-PBE",
  "state": "relaxed",
  "e_form_ev_per_atom": 0.35,
  "crystal_system": "tetragonal",
  "rho_g_cm3": 9.1,
  "energy_ev_per_atom": -6.9740,
  "lattice": [[4.374, 0.000, 0.000], [0.000, 4.374, 0.000], [-2.187, -2.187, 3.860]],
  "species": ["Pa", "Sn", "Fe"],
  "frac_coords": [[0.575, 0.575, 0.150], [0.966, 0.966, 0.933], [0.309, 0.309, 0.617]]
}

=====

{
  "formula": "CaLaAs2Se",
  "functional": "GGA-PBE",
  "state": "relaxed",
  "formation_energy_uncorrected_ev_per_atom": -0.41,
  "crystal_system": "tetragonal",
  "de_polymorph_ev_per_fu": 0.00,
  "rho_g_cm3": 4.7,
  "energy_ev_per_atom": -4.3536,
  "lattice": [[-0.801, -4.327, -2.832], [5.076, -0.108, -1.271], [1.007, -2.983, 4.273]],
  "species": ["As", "As", "Ca", "Se", "La"],
  "frac_coords": [[0.000, 0.500, 0.000], [0.500, 0.000, 0.000], [0.000, 0.000, 0.000], [0.000, 0.000, 0.500], [0.500, 0.500, 0.500]]
}

=====

{
  "formula": "RbBe3Cu",
  "functional": "GGA-PBE",
  "state": "relaxed",
  "e_form_ev_per_atom": 0.77,
  "crystal_system": "cubic",
  "de_polymorph_ev_per_fu": 0.00,
  "rho_g_cm3": 3.4,
  "energy_ev_per_atom": -2.4742,
  "lattice": [[4.429, 0.000, 0.000], [0.000, 4.429, 0.000], [0.000, 0.000, 4.429]],
  "species": ["Be", "Be", "Be", "Cu", "Rb"],
  "frac_coords": [[0.000, 0.500, 0.000], [0.000, 0.000, 0.500], [0.500, 0.000, 0.000], [0.000, 0.000, 0.000], [0.500, 0.500, 0.500]]
}